Compound: SrZn2Ga2
Source: Alexandria via LeMat-Bulk
Functional: PBE-GGA
Structure: relaxed

Structure (POSCAR):
```
SrZn2Ga2
1.0
8.0006 0.0000 0.0000
0.0000 8.0006 0.0000
0.0000 0.0000 3.3101
Sr Zn Ga
2 4 4
Direct
0.0000 0.0000 0.0000
0.5000 0.5000 0.0000
0.1195 0.3805 0.0000
0.3805 0.8805 0.0000
0.6195 0.1195 0.0000
0.8805 0.6195 0.0000
0.1677 0.6677 0.5000
0.3323 0.1677 0.5000
0.6677 0.8323 0.5000
0.8323 0.3323 0.5000
```

M_tot   0.00 μB per formula unit
Calculated formation energy   -0.080 eV/atom

---

Compound: Pm7Ge2Au2
Source: Alexandria via LeMat-Bulk
Functional: PBE-GGA
Structure: relaxed

Structure (POSCAR):
```
Pm7Ge2Au2
1.0
4.0211 -5.4802 0.0000
4.0211 5.4802 0.0000
0.0000 0.0000 7.3976
Pm Ge Au
7 2 2
Direct
0.0000 0.0000 0.0000
0.0000 0.5000 0.2782
0.0000 0.5000 0.7218
0.5000 0.0000 0.2782
0.5000 0.0000 0.7218
0.5000 0.5000 0.2624
0.5000 0.5000 0.7376
0.2896 0.7104 0.0000
0.7104 0.2896 0.0000
0.1807 0.1807 0.5000
0.8193 0.8193 0.5000
```

M_tot   0.00 μB per formula unit
Calculated formation energy   -0.396 eV/atom

---

Q: What is the formula in the first record?
A: SrZn2Ga2

---

Q: Which of these has the highest calculated formation energy?
A: SrZn2Ga2